KYCrO4 | PBE with a Hubbard U | relaxed

Cell: 5.841 5.886 7.401 Å, 90.00 108.09 90.00°
Sites, in units of the cell vectors:
K: 0.196 0.250 0.432
K: 0.804 0.750 0.568
Y: 0.308 0.250 0.959
Y: 0.692 0.750 0.041
Cr: 0.234 0.750 0.166
Cr: 0.766 0.250 0.834
O: 0.029 0.750 0.934
O: 0.038 0.750 0.307
O: 0.456 0.524 0.179
O: 0.456 0.976 0.179
O: 0.544 0.024 0.821
O: 0.544 0.476 0.821
O: 0.962 0.250 0.693
O: 0.971 0.250 0.066

Results
The space group is P2_1/m, No. 11. Its crystal system is monoclinic. The spin magnetization comes out at 4.00 μB/cell. The value obtained for the total energy is -7.26 eV per atom.